P.
{"formula": "GaOsAu3", "functional": "PBE-GGA", "state": "optimized geometry", "mass_density_g_cm3": 13.4, "space_group": "Pm-3m (221)", "magnetic_moment_mub_per_fu": 2.2, "dos_at_fermi_per_ev_atom": 0.642, "cell": [[4.724, 0.000, 0.000], [0.000, 4.724, 0.000], [0.000, 0.000, 4.724]], "species": ["Ga", "Os", "Au", "Au", "Au"], "fractional_positions": [[0.000, 0.000, 0.000], [0.500, 0.500, 0.500], [0.000, 0.000, 0.500], [0.000, 0.500, 0.000], [0.500, 0.000, 0.000]]}

---

Q.
{"formula": "GaOsAu3", "functional": "PBE-GGA", "state": "optimized geometry", "mass_density_g_cm3": 10.7, "space_group": "Pm-3m (221)", "magnetic_moment_mub_per_fu": 1.8, "dos_at_fermi_per_ev_atom": 0.755, "cell": [[5.089, 0.000, 0.000], [0.000, 5.089, 0.000], [0.000, 0.000, 5.089]], "species": ["Ga", "Os", "Au", "Au", "Au"], "fractional_positions": [[0.000, 0.000, 0.000], [0.500, 0.500, 0.500], [0.000, 0.500, 0.500], [0.500, 0.000, 0.500], [0.500, 0.500, 0.000]]}

---

Most stable: Q (next structure +265 meV/atom)

---

P.
{"formula": "GaOsAuS2", "functional": "PBE-GGA", "state": "optimized geometry", "mass_density_g_cm3": 8.1, "space_group": "P4/mmm (123)", "magnetic_moment_mub_per_fu": 0.0, "dos_at_fermi_per_ev_atom": 0.540, "cell": [[4.456, 0.000, 0.000], [0.000, 4.456, 0.000], [0.000, 0.000, 5.404]], "species": ["Ga", "Os", "Au", "S", "S"], "fractional_positions": [[0.000, 0.000, 0.000], [0.000, 0.000, 0.500], [0.500, 0.500, 0.000], [0.000, 0.500, 0.500], [0.500, 0.000, 0.500]]}

---

Q.
{"formula": "GaOsAuS2", "functional": "PBE-GGA", "state": "optimized geometry", "mass_density_g_cm3": 7.9, "space_group": "P4/mmm (123)", "magnetic_moment_mub_per_fu": 0.0, "dos_at_fermi_per_ev_atom": 0.730, "cell": [[4.492, 0.000, 0.000], [0.000, 4.492, 0.000], [0.000, 0.000, 5.443]], "species": ["Ga", "Os", "Au", "S", "S"], "fractional_positions": [[0.000, 0.000, 0.000], [0.500, 0.500, 0.500], [0.500, 0.500, 0.000], [0.000, 0.500, 0.500], [0.500, 0.000, 0.500]]}

---

Most stable: Q (next structure +121 meV/atom)

---

P.
{"formula": "Ga3PAu", "functional": "PBE-GGA", "state": "optimized geometry", "mass_density_g_cm3": 6.6, "space_group": "Pm-3m (221)", "magnetic_moment_mub_per_fu": 0.0, "dos_at_fermi_per_ev_atom": 0.367, "cell": [[4.785, 0.000, 0.000], [0.000, 4.785, 0.000], [0.000, 0.000, 4.785]], "species": ["Ga", "Ga", "Ga", "P", "Au"], "fractional_positions": [[0.000, 0.000, 0.500], [0.000, 0.500, 0.000], [0.500, 0.000, 0.000], [0.000, 0.000, 0.000], [0.500, 0.500, 0.500]]}

---

Q.
{"formula": "Ga3PAu", "functional": "PBE-GGA", "state": "optimized geometry", "mass_density_g_cm3": 6.1, "space_group": "Pm-3m (221)", "magnetic_moment_mub_per_fu": 0.0, "dos_at_fermi_per_ev_atom": 0.740, "cell": [[4.924, 0.000, 0.000], [0.000, 4.924, 0.000], [0.000, 0.000, 4.924]], "species": ["Ga", "Ga", "Ga", "P", "Au"], "fractional_positions": [[0.000, 0.000, 0.500], [0.000, 0.500, 0.000], [0.500, 0.000, 0.000], [0.500, 0.500, 0.500], [0.000, 0.000, 0.000]]}

---

Most stable: P (next structure +92 meV/atom)

---

P.
{"formula": "GaPAu3", "functional": "PBE-GGA", "state": "optimized geometry", "mass_density_g_cm3": 10.2, "space_group": "Pm-3m (221)", "magnetic_moment_mub_per_fu": 0.0, "dos_at_fermi_per_ev_atom": 0.878, "cell": [[4.835, 0.000, 0.000], [0.000, 4.835, 0.000], [0.000, 0.000, 4.835]], "species": ["Ga", "P", "Au", "Au", "Au"], "fractional_positions": [[0.000, 0.000, 0.000], [0.500, 0.500, 0.500], [0.000, 0.000, 0.500], [0.000, 0.500, 0.000], [0.500, 0.000, 0.000]]}

---

Q.
{"formula": "GaPAu3", "functional": "PBE-GGA", "state": "optimized geometry", "mass_density_g_cm3": 10.3, "space_group": "Pm-3m (221)", "magnetic_moment_mub_per_fu": 0.0, "dos_at_fermi_per_ev_atom": 0.438, "cell": [[4.812, 0.000, 0.000], [0.000, 4.812, 0.000], [0.000, 0.000, 4.812]], "species": ["Ga", "P", "Au", "Au", "Au"], "fractional_positions": [[0.000, 0.000, 0.000], [0.500, 0.500, 0.500], [0.000, 0.500, 0.500], [0.500, 0.000, 0.500], [0.500, 0.500, 0.000]]}

---

Most stable: Q (next structure +602 meV/atom)